CeNd2Cd | PBE-GGA | relaxed

Unit cell a=12.288 b=12.288 c=12.288 alpha=15.85 beta=15.85 gamma=15.85
Element x y z (fractional)
Ce1 0.000 0.000 0.000
Nd1 0.091 0.091 0.091
Nd2 0.909 0.909 0.909
Cd1 0.500 0.500 0.500

Computed properties:
**DFT formation energy**: 143 meV per atom
**Offset from the most stable computed form**: 255 meV per atom
**VASP energy**: -3.9533 eV/atom